A plane-wave DFT calculation with PBEsol was carried out for an optimized crystal structure of Sr2AlCd2.

Calculated values
Fermi-level density of states	0.70	states/eV/atom
E	-10.41	eV/cell
density	4.519	g/cm3
symmetry	I4/mmm (139)
energy relative to the elements	-0.049	eV per atom

Geometry as POSCAR:
```
Sr2AlCd2
1.0
4.0194 0.0000 0.0000
0.0000 4.0194 0.0000
-2.0097 -2.0097 9.7134
Cd Al Sr
2 1 2
direct
0.2500 0.7500 0.5000
0.7500 0.2500 0.5000
0.0000 0.0000 0.0000
0.5989 0.5989 0.1979
0.4011 0.4011 0.8021
```